No. 1
VASP calculation (PBE-GGA) on Sc3Cd3Ag2 after structural relaxation.

```
8
Lattice="-1.877 2.447 1.550 -5.837 -1.592 -4.554 0.742 -3.619 6.611" Properties=species:S:1:pos:R:3 pbc="T T T"
Cd 0.172 -0.838 1.531
Cd -3.915 -4.004 1.580
Cd -1.352 -0.369 -1.055
Ag -3.644 -2.268 -0.833
Ag -1.451 -2.943 2.889
Sc -4.387 0.283 -1.915
Sc -3.023 -0.909 1.617
Sc -0.500 -0.915 4.681
```

ΔE_f	-5.418	kcal/mol of atoms



No. 2
VASP calculation (PBE-GGA) on Pr6ZnNi2 after structural relaxation.

```
18
Lattice="8.677 -0.084 0.009 -3.365 7.998 -0.009 -2.844 -3.831 7.247" Properties=species:S:1:pos:R:3 pbc="T T T"
Pr 2.565 1.577 1.292
Pr -3.633 2.438 6.941
Pr -0.384 3.803 2.360
Pr -0.331 0.222 3.091
Pr 5.011 -1.169 2.369
Pr 6.101 1.645 0.307
Pr -0.097 2.506 5.955
Pr -2.356 -0.859 5.955
Pr 4.824 4.943 1.292
Pr -2.544 5.252 4.878
Pr 2.852 0.280 4.887
Pr 2.799 3.861 4.156
Ni 1.912 4.457 0.868
Ni 2.053 -1.378 2.554
Ni 3.780 -2.537 4.703
Ni 0.556 -0.373 6.380
Zn -3.104 2.084 3.619
Zn 0.000 0.000 0.000
```

ΔE_f	-4.361	kcal/mol of atoms



No. 3
VASP calculation (PBE-GGA) on DyThH after structural relaxation.

```
3
Lattice="-1.342 -0.506 3.067 -2.974 -0.760 -1.427 3.801 -5.308 -1.081" Properties=species:S:1:pos:R:3 pbc="T T T"
H 0.731 -2.643 -0.116
Th 0.118 -0.426 -0.019
Dy -1.364 -3.506 0.693
```

polymorph energy (0 for the lowest one)	0.1220	eV/atom



Number 1: calculated total energy -3.665 eV/atom, total magnetization 0.0 μB per formula unit, volume 171.41 Å³ per cell. Number 2: calculated total energy -4.802 eV/atom, total magnetization 0.0 μB per formula unit, volume 500.92 Å³ per cell. Number 3: calculated total energy -5.172 eV/atom, total magnetization 0.0 μB per formula unit, volume 70.71 Å³ per cell.